A geometry-optimized Fe3CuTe structure, computed with PBE-GGA.

a = 4.705 Å, b = 4.705 Å, c = 4.705 Å
α = 90.00°, β = 90.00°, γ = 90.00°
Fractional positions:
Te 0.000 0.000 0.000
Fe 0.500 0.000 0.000
Cu 0.500 0.500 0.500
Fe 0.000 0.500 0.000
Fe 0.000 0.000 0.500

Results
Relative energy among the computed polymorphs: 0.000 eV per atom
DFT total energy: -5.159 eV per atom
Formation energy from raw total energies: 1366 meV per atom
Density of states at the Fermi level: 1.36 states/eV/atom
Spin magnetization: 1.435 μB/atom